[1]
# PBE ErLuCd2, relaxed
data_ErLuCd2
_cell_length_a 5.1959
_cell_length_b 5.1959
_cell_length_c 3.7252
_cell_angle_alpha 90.00
_cell_angle_beta 90.00
_cell_angle_gamma 90.00
_symmetry_space_group_name_H-M 'P 4/m m m'
_symmetry_Int_Tables_number 123
_symmetry_space_group_name_Hall '-P 4 2'
loop_
_atom_site_label
_atom_site_type_symbol
_atom_site_fract_x
_atom_site_fract_y
_atom_site_fract_z
Er1 Er 0.0000 0.0000 0.0000
Lu1 Lu 0.5000 0.5000 0.0000
Cd1 Cd 0.0000 0.5000 0.5000
# Energy above the most stable polymorph in this dataset: 3.4 meV/atom
# DOS(E_F): 0.76 states/eV/atom
# Energy of formation: -29.8 kJ/mol of atoms



[2]
# PBE TmTh3Se6, relaxed
data_TmTh3Se6
_cell_length_a 11.4831
_cell_length_b 13.8752
_cell_length_c 7.0881
_cell_angle_alpha 90.00
_cell_angle_beta 90.00
_cell_angle_gamma 90.00
_symmetry_space_group_name_H-M 'C m c 21'
_symmetry_Int_Tables_number 36
loop_
_symmetry_equiv_pos_as_xyz
'x,y,z'
'-x,-y,z+1/2'
'-x,y,z'
'x,-y,z+1/2'
'x+1/2,y+1/2,z'
'-x+1/2,-y+1/2,z+1/2'
'-x+1/2,y+1/2,z'
'x+1/2,-y+1/2,z+1/2'
loop_
_atom_site_label
_atom_site_type_symbol
_atom_site_fract_x
_atom_site_fract_y
_atom_site_fract_z
Tm1 Tm 0.0000 0.1581 0.0000
Th1 Th 0.0000 0.3967 0.3806
Th2 Th 0.1746 0.0990 0.4934
Se1 Se 0.0000 0.0027 0.2431
Se2 Se 0.0000 0.2380 0.6497
Se3 Se 0.1593 0.4661 0.6881
Se4 Se 0.1670 0.2606 0.1977
# Formation energy (no corrections): -1.635 eV per atom
# DOS(E_F): 0.44 states/eV/atom



[3]
# PBE MgCoSe3, relaxed
data_MgCoSe3
_cell_length_a 4.7467
_cell_length_b 4.7467
_cell_length_c 4.7467
_cell_angle_alpha 90.00
_cell_angle_beta 90.00
_cell_angle_gamma 90.00
_symmetry_space_group_name_H-M 'P m -3 m'
_symmetry_Int_Tables_number 221
_symmetry_space_group_name_Hall '-P 4 2 3'
loop_
_atom_site_label
_atom_site_type_symbol
_atom_site_fract_x
_atom_site_fract_y
_atom_site_fract_z
Mg1 Mg 0.0000 0.0000 0.0000
Co1 Co 0.5000 0.5000 0.5000
Se1 Se 0.0000 0.5000 0.5000
# Energy above the most stable polymorph in this dataset: 0.0 meV/atom
# Formation energy (no corrections): 0.052 eV per atom
# DOS(E_F): 1.27 states/eV/atom



[4]
# PBE Lu12H5Os3, relaxed
data_Lu12H5Os3
_cell_length_a 14.7360
_cell_length_b 14.7360
_cell_length_c 14.7360
_cell_angle_alpha 90.00
_cell_angle_beta 90.00
_cell_angle_gamma 90.00
_symmetry_space_group_name_H-M 'I a -3 d'
_symmetry_Int_Tables_number 230
_symmetry_space_group_name_Hall '-I 4bd 2c 3'
loop_
_atom_site_label
_atom_site_type_symbol
_atom_site_fract_x
_atom_site_fract_y
_atom_site_fract_z
Lu1 Lu 0.0322 0.0610 0.6562
H1 H 0.0000 0.0000 0.0000
H2 H 0.0000 0.2500 0.3750
Os1 Os 0.0000 0.2500 0.1250
# E_tot: -891.36 eV/cell
# DOS(E_F): 0.60 states/eV/atom